# 1
LiCeUPt: relaxed, PBE.

M_tot ... 12.46 μB per cell
E_form ... -0.334 eV per atom
Total energy ... -6.63 eV per atom

Unit cell a=6.7535 b=6.7535 c=6.7535 alpha=90.00 beta=90.00 gamma=90.00
Last column: nearest neighbours and their distance in Å.
Space group F-43m (No. 216)
Asymmetric unit:
Li (0.0000, 0.0000, 0.0000) (multiplicity 4)  4 Ce 2.92, 4 Pt 2.92
Ce (0.2500, 0.2500, 0.7500) (multiplicity 4)  4 Li 2.92, 4 U 2.92
U (0.0000, 0.0000, 0.5000) (multiplicity 4)  4 Ce 2.92, 4 Pt 2.92
Pt (0.2500, 0.2500, 0.2500) (multiplicity 4)  4 U 2.92, 4 Li 2.92

# 2
LiMnFe3: relaxed, PBE.

M_tot ... 5.70 μB per cell
E_form ... 1.004 eV per atom
Total energy ... -6.29 eV per atom

Unit cell a=4.2508 b=4.2508 c=4.2508 alpha=90.00 beta=90.00 gamma=90.00
Last column: nearest neighbours and their distance in Å.
Space group Pm-3m (No. 221)
Asymmetric unit:
Li (0.0000, 0.0000, 0.0000) (multiplicity 1)  12 Fe 3.01
Mn (0.5000, 0.5000, 0.5000) (multiplicity 1)  6 Fe 2.13
Fe (0.0000, 0.5000, 0.5000) (multiplicity 3)  2 Mn 2.13

# 3
BaZn2O2: relaxed, PBE.

M_tot ... 0.00 μB per cell
Total energy ... -3.43 eV per atom
Relative energy among the computed polymorphs ... 491.7 meV per atom
Raw formation energy ... -549 meV/atom

Unit cell a=7.0485 b=7.0485 c=3.4261 alpha=90.00 beta=90.00 gamma=90.00
Last column: nearest neighbours and their distance in Å.
Space group P4/mbm (No. 127)
Asymmetric unit:
Ba (0.0000, 0.0000, 0.0000) (multiplicity 2)  4 O 2.73
Zn (0.1174, 0.3826, 0.5000) (multiplicity 4)  1 Zn 2.34, 4 O 2.49
O (0.1374, 0.6374, 0.0000) (multiplicity 4)  4 Zn 2.49, 2 Ba 2.73, 1 O 2.74